(1)
Nd7Y12Al after structural relaxation. Source: the Alexandria database, functional GGA-PBE.

POSCAR file:
```
Nd7Y12Al
1.0
6.009 3.470 5.337
-6.009 3.470 5.337
0.000 -6.939 5.337
Nd Y Al
7 12 1
Cartesian
0.000 0.000 0.000
-1.843 -0.666 4.685
1.498 -1.263 4.685
0.345 1.929 4.685
-0.345 -1.929 11.325
-1.498 1.263 11.325
1.843 0.666 11.325
-0.600 -4.072 4.027
-3.226 2.556 4.027
-0.688 -3.001 7.221
-2.943 -0.904 8.789
-3.827 -1.516 11.983
-2.255 2.097 7.221
2.255 -2.097 8.789
3.827 1.516 4.027
2.943 0.904 7.221
0.688 3.001 8.789
3.226 -2.556 11.983
0.600 4.072 11.983
0.000 0.000 8.005
```

The value obtained for the formation energy is 16.10 kJ per mole of atoms. As for the space group: R-3, No. 148. As for the spin magnetization: 0.000 Bohr magnetons per cell.

(2)
Nd2YAl after structural relaxation. Source: the Alexandria database, functional GGA-PBE.

POSCAR file:
```
Nd2YAl
1.0
9.671 0.000 0.000
0.000 5.401 0.000
0.000 0.000 9.339
Nd Y Al
8 4 4
Cartesian
0.856 1.350 0.144
1.966 4.051 2.215
2.870 1.350 6.885
3.980 4.051 4.814
5.691 1.350 4.525
6.802 4.051 2.454
7.705 1.350 7.124
8.816 4.051 9.194
0.535 4.051 5.790
4.300 1.350 1.121
5.371 4.051 8.218
9.136 1.350 3.549
2.344 4.051 8.483
2.492 1.350 3.814
7.180 4.051 5.525
7.327 1.350 0.855
```

The value obtained for the formation energy is -10.75 kJ per mole of atoms. As for the space group: Pnma, No. 62. As for the spin magnetization: 0.000 Bohr magnetons per cell.

(3)
Nd2YAl2 after structural relaxation. Source: the Alexandria database, functional GGA-PBE.

POSCAR file:
```
Nd2YAl2
1.0
-2.475 3.418 4.050
2.475 -3.418 4.050
2.475 3.418 -4.050
Nd Y Al
2 1 2
Cartesian
0.000 0.000 1.595
0.000 0.000 6.505
0.000 3.418 0.000
2.475 1.352 0.000
0.000 2.067 4.050
```

The value obtained for the formation energy is -30.58 kJ per mole of atoms. As for the space group: Immm, No. 71. As for the spin magnetization: 0.000 Bohr magnetons per cell.

(4)
NdY2Al after structural relaxation. Source: the Alexandria database, functional GGA-PBE.

POSCAR file:
```
NdY2Al
1.0
4.841 0.000 0.000
0.000 4.841 0.000
0.000 0.000 4.801
Nd Y Al
1 2 1
Cartesian
0.000 0.000 0.000
0.000 2.420 2.400
2.420 0.000 2.400
2.420 2.420 0.000
```

The value obtained for the formation energy is -16.71 kJ per mole of atoms. As for the space group: P4/mmm, No. 123. As for the spin magnetization: 0.000 Bohr magnetons per cell.

(5)
Nd2YAl after structural relaxation. Source: the Alexandria database, functional GGA-PBE.

POSCAR file:
```
Nd2YAl
1.0
1.845 1.065 10.690
-1.845 1.065 10.690
0.000 -2.130 10.690
Nd Y Al
2 1 1
Cartesian
0.000 0.000 0.000
0.000 0.000 6.030
0.000 0.000 13.708
0.000 0.000 19.040
```

The value obtained for the formation energy is -2.09 kJ per mole of atoms. As for the space group: R3m, No. 160. As for the spin magnetization: 0.723 Bohr magnetons per cell.

(6)
Nd2YAl2 after structural relaxation. Source: the Alexandria database, functional GGA-PBE.

POSCAR file:
```
Nd2YAl2
1.0
6.398 -1.791 0.000
6.398 1.791 0.000
-1.118 0.000 6.148
Nd Y Al
2 1 2
Cartesian
1.613 0.000 0.435
10.066 0.000 5.713
5.839 0.000 3.074
1.890 0.000 3.749
9.789 0.000 2.399
```

The value obtained for the formation energy is -18.22 kJ per mole of atoms. As for the space group: C2/m, No. 12. As for the spin magnetization: 0.000 Bohr magnetons per cell.

(7)
Nd3Y4Al4 after structural relaxation. Source: the Alexandria database, functional GGA-PBE.

POSCAR file:
```
Nd3Y4Al4
1.0
-2.585 3.526 8.518
2.585 -3.526 8.518
2.585 3.526 -8.518
Nd Y Al
3 4 4
Cartesian
0.000 0.000 0.000
2.585 0.000 6.749
0.000 3.526 1.769
2.585 1.625 -3.039
2.585 1.625 3.039
0.000 1.900 5.479
0.000 1.900 11.557
0.000 0.000 3.077
2.585 2.166 0.000
0.000 1.359 8.518
0.000 0.000 13.959
```

The value obtained for the formation energy is -19.60 kJ per mole of atoms. As for the space group: Immm, No. 71. As for the spin magnetization: 0.000 Bohr magnetons per cell.

(8)
NdYAl after structural relaxation. Source: the Alexandria database, functional GGA-PBE.

POSCAR file:
```
NdYAl
1.0
5.369 0.000 0.000
-2.684 4.649 0.000
0.000 0.000 6.689
Nd Y Al
2 2 2
Cartesian
0.000 0.000 0.000
0.000 0.000 3.344
0.000 3.100 1.672
2.684 1.550 5.017
0.000 3.100 5.017
2.684 1.550 1.672
```

The value obtained for the formation energy is -23.74 kJ per mole of atoms. As for the space group: P6_3/mmc, No. 194. As for the spin magnetization: 0.001 Bohr magnetons per cell.

(9)
NdY2Al2 after structural relaxation. Source: the Alexandria database, functional GGA-PBE.

POSCAR file:
```
NdY2Al2
1.0
5.642 0.000 0.000
0.000 3.799 0.000
-1.523 0.000 13.150
Nd Y Al
2 4 4
Cartesian
0.657 0.950 3.050
3.462 2.849 10.100
0.649 2.849 6.087
0.620 0.950 11.705
3.498 2.849 1.445
3.470 0.950 7.063
0.753 2.849 0.477
0.653 0.950 8.643
3.465 2.849 4.507
3.366 0.950 12.673
```

The value obtained for the formation energy is -16.56 kJ per mole of atoms. As for the space group: P2_1/m, No. 11. As for the spin magnetization: 0.000 Bohr magnetons per cell.

(10)
NdY2Al2Zn2 after structural relaxation. Source: the Alexandria database, functional GGA-PBE.

POSCAR file:
```
NdY2Al2Zn2
1.0
2.264 1.307 9.340
-2.264 1.307 9.340
0.000 -2.614 9.340
Nd Y Al Zn
1 2 2 2
Cartesian
0.000 0.000 0.000
0.000 0.000 3.596
0.000 0.000 24.423
0.000 0.000 7.293
0.000 0.000 20.726
0.000 0.000 11.288
0.000 0.000 16.731
```

The value obtained for the formation energy is -31.23 kJ per mole of atoms. As for the space group: R-3m, No. 166. As for the spin magnetization: 0.000 Bohr magnetons per cell.

(11)
NdAl2Zn9 after structural relaxation. Source: the Alexandria database, functional GGA-PBE.

POSCAR file:
```
NdAl2Zn9
1.0
-5.313 5.313 3.524
5.313 -5.313 3.524
5.313 5.313 -3.524
Nd Al Zn
2 4 18
Cartesian
5.313 2.657 0.881
0.000 2.657 2.643
0.000 0.000 0.000
2.657 2.657 -1.762
2.657 -2.657 1.762
0.000 5.313 0.000
5.313 -2.657 2.643
4.025 -0.472 1.223
6.602 -0.472 1.223
2.185 1.368 0.538
8.442 1.368 0.538
4.025 4.842 -1.223
1.288 -0.472 2.300
2.185 3.945 0.538
3.128 -1.368 4.062
2.185 6.682 -0.538
3.128 1.368 2.985
4.025 5.785 1.223
1.288 0.472 4.747
-3.128 3.945 2.985
3.128 3.945 2.985
-1.288 5.785 2.300
1.288 5.785 2.300
0.000 7.970 0.881
```

The value obtained for the formation energy is -16.29 kJ per mole of atoms. As for the space group: I4_1/amd, No. 141. As for the spin magnetization: 0.000 Bohr magnetons per cell.

(12)
Nd12Al6Zn after structural relaxation. Source: the Alexandria database, functional GGA-PBE.

POSCAR file:
```
Nd12Al6Zn
1.0
6.255 3.611 4.022
-6.255 3.611 4.022
0.000 -7.223 4.022
Nd Al Zn
12 6 1
Cartesian
-1.889 0.980 2.996
0.096 -2.125 2.996
-3.057 -1.133 5.588
-0.547 -3.214 6.479
-2.510 2.081 6.479
1.793 1.146 2.996
-1.793 -1.146 9.071
2.510 -2.080 5.588
0.547 3.214 5.588
3.057 1.133 6.479
-0.096 2.125 9.071
1.889 -0.980 9.071
-4.775 1.314 4.118
-3.525 -3.478 7.948
1.250 -4.792 4.118
-1.250 4.792 7.948
3.525 3.478 4.118
4.775 -1.314 7.948
0.000 0.000 6.033
```

The value obtained for the formation energy is -10.17 kJ per mole of atoms. As for the space group: R-3, No. 148. As for the spin magnetization: 0.000 Bohr magnetons per cell.